Here is crystalline Ce2ScPa at its relaxed geometry from the Alexandria database. Energies are from PBE.

Properties
**Symmetry**: No. 8
**ρ**: 9.020 g/cm³
**Formation enthalpy at 0 K**: 0.06 eV per atom

a = 3.289 Å, b = 3.289 Å, c = 11.112 Å
α = 98.56°, β = 98.56°, γ = 59.86°
Fractional positions:
Ce (0.000, 0.000, 0.000)
Ce (0.584, 0.584, 0.747)
Sc (0.758, 0.758, 0.260)
Pa (0.170, 0.170, 0.497)